# 1
CsTlCu2F8 after structural relaxation. Source: Alexandria via LeMat-Bulk, functional PBE.

The structure in POSCAR format:
```
CsTlCu2F8
1.0
-2.522 4.381 -2.175
-0.059 0.713 -5.457
-8.050 -2.687 -3.039
Tl F Cu Cs
1 8 2 1
Direct
0.500 0.500 0.500
0.454 0.127 0.666
0.682 0.682 0.954
0.247 0.873 0.334
0.873 0.546 0.334
0.127 0.753 0.666
0.318 0.318 0.046
0.753 0.454 0.666
0.546 0.247 0.334
0.246 0.246 0.261
0.754 0.754 0.739
0.000 0.000 0.000
```

Calculated values
**Calculated density**: 4.6 g/cm3
**DFT total energy**: -3.91 eV per atom
**M_tot**: 2.00 Bohr magnetons per cell

***

# 2
Pm2ZnCd12 after structural relaxation. Source: Alexandria via LeMat-Bulk, functional PBE.

The structure in POSCAR format:
```
Pm2ZnCd12
1.0
-5.226 -1.406 3.336
2.832 -5.237 2.229
6.443 9.484 14.093
Cd Pm Zn
24 4 2
Direct
0.750 0.750 0.087
0.500 0.500 0.813
0.665 0.835 0.570
0.665 0.165 0.430
0.000 0.000 0.187
0.500 0.500 0.187
0.000 0.000 0.813
0.250 0.250 0.913
0.165 0.335 0.430
0.835 0.335 0.570
0.835 0.665 0.430
0.750 0.750 0.913
0.500 0.500 0.337
0.165 0.665 0.570
0.250 0.250 0.087
0.500 0.500 0.663
0.250 0.750 0.913
0.335 0.165 0.570
0.250 0.750 0.087
0.000 0.000 0.663
0.000 0.000 0.337
0.750 0.250 0.087
0.750 0.250 0.913
0.335 0.835 0.430
0.000 0.500 0.754
0.500 0.000 0.246
0.000 0.500 0.246
0.500 0.000 0.754
0.500 0.000 0.000
0.000 0.500 0.000
```

Calculated values
**Calculated density**: 7.7 g/cm3
**DFT total energy**: -1.55 eV per atom
**M_tot**: 0.00 Bohr magnetons per cell

***

Q: Look up the DFT total energy of the first one.
A: -3.91 eV per atom

***

Copy entry 2 word for word.
Pm2ZnCd12 after structural relaxation. Source: Alexandria via LeMat-Bulk, functional PBE.

The structure in POSCAR format:
```
Pm2ZnCd12
1.0
-5.226 -1.406 3.336
2.832 -5.237 2.229
6.443 9.484 14.093
Cd Pm Zn
24 4 2
Direct
0.750 0.750 0.087
0.500 0.500 0.813
0.665 0.835 0.570
0.665 0.165 0.430
0.000 0.000 0.187
0.500 0.500 0.187
0.000 0.000 0.813
0.250 0.250 0.913
0.165 0.335 0.430
0.835 0.335 0.570
0.835 0.665 0.430
0.750 0.750 0.913
0.500 0.500 0.337
0.165 0.665 0.570
0.250 0.250 0.087
0.500 0.500 0.663
0.250 0.750 0.913
0.335 0.165 0.570
0.250 0.750 0.087
0.000 0.000 0.663
0.000 0.000 0.337
0.750 0.250 0.087
0.750 0.250 0.913
0.335 0.835 0.430
0.000 0.500 0.754
0.500 0.000 0.246
0.000 0.500 0.246
0.500 0.000 0.754
0.500 0.000 0.000
0.000 0.500 0.000
```

Calculated values
**Calculated density**: 7.7 g/cm3
**DFT total energy**: -1.55 eV per atom
**M_tot**: 0.00 Bohr magnetons per cell

***

Q: Which formula does entry 2 have?
A: Pm2ZnCd12